A plane-wave DFT calculation with PBE-GGA was carried out for crystalline Li21Ca2Cd6 at its relaxed geometry.

Cell: 13.793 13.793 13.793 Å, 90.00 90.00 90.00°
Space group Fm-3m (No. 225)
Inequivalent atoms, fractional coordinates:
Li 0.000 0.000 0.000 [4 per cell]
Li 0.000 0.177 0.177 [48 per cell]
Li 0.112 0.112 0.388 [32 per cell]
Ca 0.250 0.250 0.250 [8 per cell]
Cd 0.000 0.000 0.262 [24 per cell]

Calculated values
Fermi-level density of states = 0.441 states/eV/atom
Energy = -1.76 eV per atom